[1]
# LaPrS2O

Crystalline LaPrS2O at its relaxed geometry (PBE, Alexandria via LeMat-Bulk).

Values from the calculation:
The calculation puts the total magnetization at 0.00 μB per atom. The value obtained for the total DFT energy (no corrections) is -71.20 eV per cell. As for the crystal system: tetragonal.

The structure in CIF format:
```
data_LaPrS2O
_chemical_formula_sum 'La2 Pr2 S4 O2'
_cell_length_a 4.070
_cell_length_b 4.070
_cell_length_c 14.433
_cell_angle_alpha 90.00
_cell_angle_beta 90.00
_cell_angle_gamma 90.00
_space_group_name_H-M_alt 'P 1'
_space_group_IT_number 1
loop_
_space_group_symop_operation_xyz
'x,y,z'
loop_
_atom_site_label
_atom_site_fract_x
_atom_site_fract_y
_atom_site_fract_z
_atom_site_occupancy
La1 0.500 0.000 0.586 1
S1 0.000 0.500 0.092 1
Pr1 0.000 0.500 0.874 1
S2 0.500 0.000 0.908 1
Pr2 0.500 0.000 0.126 1
S3 0.500 0.000 0.307 1
O1 0.500 0.500 0.500 1
O2 0.000 0.000 0.500 1
S4 0.000 0.500 0.693 1
La2 0.000 0.500 0.414 1
```

[2]
# La4Pr2Sb3O2

Crystalline La4Pr2Sb3O2 at its relaxed geometry (PBE, Alexandria via LeMat-Bulk).

Values from the calculation:
The calculation puts the total magnetization at 0.00 μB per atom. The value obtained for the total DFT energy (no corrections) is -70.22 eV per cell. As for the crystal system: tetragonal.

The structure in CIF format:
```
data_La4Pr2Sb3O2
_chemical_formula_sum 'La4 Pr2 Sb3 O2'
_cell_length_a 4.831
_cell_length_b 4.831
_cell_length_c 13.673
_cell_angle_alpha 100.17
_cell_angle_beta 100.17
_cell_angle_gamma 90.00
_space_group_name_H-M_alt 'P 1'
_space_group_IT_number 1
loop_
_space_group_symop_operation_xyz
'x,y,z'
loop_
_atom_site_label
_atom_site_fract_x
_atom_site_fract_y
_atom_site_fract_z
_atom_site_occupancy
Sb1 0.177 0.177 0.354 1
Pr1 0.301 0.301 0.602 1
O1 0.397 0.397 0.794 1
La1 0.583 0.083 0.166 1
O2 0.603 0.603 0.206 1
La2 0.917 0.417 0.834 1
Pr2 0.699 0.699 0.398 1
Sb2 0.823 0.823 0.646 1
La3 0.417 0.917 0.834 1
La4 0.083 0.583 0.166 1
Sb3 0.000 0.000 0.000 1
```

[3]
# LaPrSbO

Crystalline LaPrSbO at its relaxed geometry (PBE, Alexandria via LeMat-Bulk).

Values from the calculation:
The calculation puts the total magnetization at 0.01 μB per atom. The value obtained for the total DFT energy (no corrections) is -52.32 eV per cell. As for the crystal system: trigonal.

The structure in CIF format:
```
data_LaPrSbO
_chemical_formula_sum 'La2 Pr2 Sb2 O2'
_cell_length_a 4.233
_cell_length_b 4.233
_cell_length_c 14.672
_cell_angle_alpha 81.71
_cell_angle_beta 81.71
_cell_angle_gamma 60.00
_space_group_name_H-M_alt 'P 1'
_space_group_IT_number 1
loop_
_space_group_symop_operation_xyz
'x,y,z'
loop_
_atom_site_label
_atom_site_fract_x
_atom_site_fract_y
_atom_site_fract_z
_atom_site_occupancy
Sb1 0.619 0.619 0.142 1
O1 0.189 0.189 0.434 1
La1 0.500 0.500 0.500 1
O2 0.811 0.811 0.566 1
Pr1 0.241 0.241 0.276 1
Pr2 0.759 0.759 0.724 1
La2 0.000 0.000 0.000 1
Sb2 0.381 0.381 0.858 1
```

[4]
# LaPrSb2O8

Crystalline LaPrSb2O8 at its relaxed geometry (PBE, Alexandria via LeMat-Bulk).

Values from the calculation:
The calculation puts the total magnetization at 0.00 μB per atom. The value obtained for the total DFT energy (no corrections) is -85.21 eV per cell. As for the crystal system: tetragonal.

The structure in CIF format:
```
data_LaPrSb2O8
_chemical_formula_sum 'La1 Pr1 Sb2 O8'
_cell_length_a 5.443
_cell_length_b 5.443
_cell_length_c 7.018
_cell_angle_alpha 112.82
_cell_angle_beta 112.82
_cell_angle_gamma 90.00
_space_group_name_H-M_alt 'P 1'
_space_group_IT_number 1
loop_
_space_group_symop_operation_xyz
'x,y,z'
loop_
_atom_site_label
_atom_site_fract_x
_atom_site_fract_y
_atom_site_fract_z
_atom_site_occupancy
O1 0.415 0.338 0.171 1
O2 0.585 0.669 0.673 1
O3 0.331 0.912 0.327 1
O4 0.662 0.244 0.829 1
La1 0.750 0.250 0.500 1
Sb1 0.500 0.500 0.000 1
O5 0.997 0.415 0.327 1
Sb2 0.250 0.750 0.500 1
O6 0.088 0.003 0.673 1
O7 0.167 0.585 0.829 1
Pr1 0.000 0.000 0.000 1
O8 0.756 0.833 0.171 1
```

[5]
# LaPrSeO2

Crystalline LaPrSeO2 at its relaxed geometry (PBE, Alexandria via LeMat-Bulk).

Values from the calculation:
The calculation puts the total magnetization at 0.00 μB per atom. The value obtained for the total DFT energy (no corrections) is -38.24 eV per cell. As for the crystal system: tetragonal.

The structure in CIF format:
```
data_LaPrSeO2
_chemical_formula_sum 'La1 Pr1 Se1 O2'
_cell_length_a 4.019
_cell_length_b 4.019
_cell_length_c 6.996
_cell_angle_alpha 106.69
_cell_angle_beta 106.69
_cell_angle_gamma 90.00
_space_group_name_H-M_alt 'P 1'
_space_group_IT_number 1
loop_
_space_group_symop_operation_xyz
'x,y,z'
loop_
_atom_site_label
_atom_site_fract_x
_atom_site_fract_y
_atom_site_fract_z
_atom_site_occupancy
Se1 0.503 0.503 0.005 1
O1 0.750 0.250 0.499 1
O2 0.250 0.750 0.499 1
Pr1 0.153 0.153 0.305 1
La1 0.846 0.846 0.692 1
```

[6]
# LaPrSe2O

Crystalline LaPrSe2O at its relaxed geometry (PBE, Alexandria via LeMat-Bulk).

Values from the calculation:
The calculation puts the total magnetization at 0.00 μB per atom. The value obtained for the total DFT energy (no corrections) is -67.73 eV per cell. As for the crystal system: tetragonal.

The structure in CIF format:
```
data_LaPrSe2O
_chemical_formula_sum 'La2 Pr2 Se4 O2'
_cell_length_a 4.174
_cell_length_b 4.174
_cell_length_c 15.043
_cell_angle_alpha 90.00
_cell_angle_beta 90.00
_cell_angle_gamma 90.00
_space_group_name_H-M_alt 'P 1'
_space_group_IT_number 1
loop_
_space_group_symop_operation_xyz
'x,y,z'
loop_
_atom_site_label
_atom_site_fract_x
_atom_site_fract_y
_atom_site_fract_z
_atom_site_occupancy
Pr1 0.500 0.000 0.129 1
O1 0.000 0.000 0.500 1
La1 0.000 0.500 0.421 1
La2 0.500 0.000 0.579 1
Se1 0.500 0.000 0.311 1
Se2 0.500 0.000 0.910 1
O2 0.500 0.500 0.500 1
Pr2 0.000 0.500 0.871 1
Se3 0.000 0.500 0.090 1
Se4 0.000 0.500 0.689 1
```

[7]
# La4Pr2Sn3O2

Crystalline La4Pr2Sn3O2 at its relaxed geometry (PBE, Alexandria via LeMat-Bulk).

Values from the calculation:
The calculation puts the total magnetization at 0.00 μB per atom. The value obtained for the total DFT energy (no corrections) is -67.63 eV per cell. As for the crystal system: tetragonal.

The structure in CIF format:
```
data_La4Pr2Sn3O2
_chemical_formula_sum 'La4 Pr2 Sn3 O2'
_cell_length_a 4.890
_cell_length_b 4.890
_cell_length_c 13.714
_cell_angle_alpha 100.27
_cell_angle_beta 100.27
_cell_angle_gamma 90.00
_space_group_name_H-M_alt 'P 1'
_space_group_IT_number 1
loop_
_space_group_symop_operation_xyz
'x,y,z'
loop_
_atom_site_label
_atom_site_fract_x
_atom_site_fract_y
_atom_site_fract_z
_atom_site_occupancy
O1 0.603 0.603 0.205 1
La1 0.083 0.583 0.167 1
Pr1 0.697 0.697 0.394 1
La2 0.583 0.083 0.167 1
O2 0.397 0.397 0.795 1
La3 0.917 0.417 0.833 1
Sn1 0.178 0.178 0.357 1
Sn2 0.822 0.822 0.643 1
La4 0.417 0.917 0.833 1
Sn3 0.000 0.000 0.000 1
Pr2 0.303 0.303 0.606 1
```

[8]
# La2PrTcO8

Crystalline La2PrTcO8 at its relaxed geometry (PBE, Alexandria via LeMat-Bulk).

Values from the calculation:
The calculation puts the total magnetization at 0.00 μB per atom. The value obtained for the total DFT energy (no corrections) is -95.19 eV per cell. As for the crystal system: monoclinic.

The structure in CIF format:
```
data_La2PrTcO8
_chemical_formula_sum 'La2 Pr1 Tc1 O8'
_cell_length_a 5.282
_cell_length_b 5.283
_cell_length_c 7.055
_cell_angle_alpha 90.00
_cell_angle_beta 90.01
_cell_angle_gamma 90.29
_space_group_name_H-M_alt 'P 1'
_space_group_IT_number 1
loop_
_space_group_symop_operation_xyz
'x,y,z'
loop_
_atom_site_label
_atom_site_fract_x
_atom_site_fract_y
_atom_site_fract_z
_atom_site_occupancy
Tc1 0.000 0.000 0.000 1
O1 0.253 0.251 0.000 1
La1 0.500 0.500 0.754 1
La2 0.500 0.500 0.246 1
O2 0.826 0.176 0.201 1
O3 0.747 0.749 0.000 1
O4 0.174 0.824 0.799 1
O5 0.826 0.176 0.799 1
Pr1 0.000 0.000 0.500 1
O6 0.174 0.824 0.201 1
O7 0.687 0.689 0.500 1
O8 0.313 0.311 0.500 1
```

[9]
# LaPrTc2O8

Crystalline LaPrTc2O8 at its relaxed geometry (PBE, Alexandria via LeMat-Bulk).

Values from the calculation:
The calculation puts the total magnetization at 0.33 μB per atom. The value obtained for the total DFT energy (no corrections) is -96.78 eV per cell. As for the crystal system: tetragonal.

The structure in CIF format:
```
data_LaPrTc2O8
_chemical_formula_sum 'La1 Pr1 Tc2 O8'
_cell_length_a 5.372
_cell_length_b 5.372
_cell_length_c 7.011
_cell_angle_alpha 112.53
_cell_angle_beta 112.53
_cell_angle_gamma 90.00
_space_group_name_H-M_alt 'P 1'
_space_group_IT_number 1
loop_
_space_group_symop_operation_xyz
'x,y,z'
loop_
_atom_site_label
_atom_site_fract_x
_atom_site_fract_y
_atom_site_fract_z
_atom_site_occupancy
La1 0.000 0.000 0.000 1
O1 0.084 0.990 0.666 1
Pr1 0.750 0.250 0.500 1
O2 0.666 0.263 0.832 1
O3 0.582 0.676 0.666 1
O4 0.010 0.418 0.334 1
Tc1 0.500 0.500 0.000 1
O5 0.737 0.834 0.168 1
O6 0.324 0.916 0.334 1
O7 0.166 0.570 0.832 1
O8 0.430 0.334 0.168 1
Tc2 0.250 0.750 0.500 1
```

[10]
# LaPrTeO6

Crystalline LaPrTeO6 at its relaxed geometry (PBE, Alexandria via LeMat-Bulk).

Values from the calculation:
The calculation puts the total magnetization at 0.00 μB per atom. The value obtained for the total DFT energy (no corrections) is -127.78 eV per cell. As for the crystal system: trigonal.

The structure in CIF format:
```
data_LaPrTeO6
_chemical_formula_sum 'La2 Pr2 Te2 O12'
_cell_length_a 5.825
_cell_length_b 5.825
_cell_length_c 9.617
_cell_angle_alpha 90.00
_cell_angle_beta 90.00
_cell_angle_gamma 120.00
_space_group_name_H-M_alt 'P 1'
_space_group_IT_number 1
loop_
_space_group_symop_operation_xyz
'x,y,z'
loop_
_atom_site_label
_atom_site_fract_x
_atom_site_fract_y
_atom_site_fract_z
_atom_site_occupancy
La1 0.667 0.333 0.750 1
O1 0.618 0.940 0.864 1
O2 0.382 0.322 0.364 1
O3 0.060 0.678 0.864 1
O4 0.940 0.618 0.364 1
O5 0.322 0.940 0.636 1
O6 0.060 0.382 0.636 1
La2 0.333 0.667 0.250 1
O7 0.678 0.618 0.136 1
O8 0.678 0.060 0.364 1
O9 0.618 0.678 0.636 1
O10 0.382 0.060 0.136 1
O11 0.940 0.322 0.136 1
Te1 0.333 0.667 0.750 1
Te2 0.667 0.333 0.250 1
Pr1 0.000 0.000 0.500 1
Pr2 0.000 0.000 0.000 1
O12 0.322 0.382 0.864 1
```

[11]
# LaPrTe2O8

Crystalline LaPrTe2O8 at its relaxed geometry (PBE, Alexandria via LeMat-Bulk).

Values from the calculation:
The calculation puts the total magnetization at 0.00 μB per atom. The value obtained for the total DFT energy (no corrections) is -78.81 eV per cell. As for the crystal system: tetragonal.

The structure in CIF format:
```
data_LaPrTe2O8
_chemical_formula_sum 'La1 Pr1 Te2 O8'
_cell_length_a 6.471
_cell_length_b 6.471
_cell_length_c 6.471
_cell_angle_alpha 107.20
_cell_angle_beta 107.20
_cell_angle_gamma 114.11
_space_group_name_H-M_alt 'P 1'
_space_group_IT_number 1
loop_
_space_group_symop_operation_xyz
'x,y,z'
loop_
_atom_site_label
_atom_site_fract_x
_atom_site_fract_y
_atom_site_fract_z
_atom_site_occupancy
O1 0.873 0.689 0.183 1
O2 0.311 0.494 0.183 1
Pr1 0.250 0.750 0.500 1
La1 0.000 0.000 0.000 1
O3 0.944 0.262 0.318 1
O4 0.738 0.056 0.682 1
O5 0.944 0.627 0.682 1
O6 0.506 0.689 0.817 1
O7 0.311 0.127 0.817 1
Te1 0.750 0.250 0.500 1
O8 0.373 0.056 0.318 1
Te2 0.500 0.500 0.000 1
```

[12]
# LaPr2TeO8

Crystalline LaPr2TeO8 at its relaxed geometry (PBE, Alexandria via LeMat-Bulk).

Values from the calculation:
The calculation puts the total magnetization at 0.08 μB per atom. The value obtained for the total DFT energy (no corrections) is -85.91 eV per cell. As for the crystal system: monoclinic.

The structure in CIF format:
```
data_LaPr2TeO8
_chemical_formula_sum 'La1 Pr2 Te1 O8'
_cell_length_a 4.367
_cell_length_b 5.510
_cell_length_c 7.390
_cell_angle_alpha 90.00
_cell_angle_beta 90.00
_cell_angle_gamma 93.91
_space_group_name_H-M_alt 'P 1'
_space_group_IT_number 1
loop_
_space_group_symop_operation_xyz
'x,y,z'
loop_
_atom_site_label
_atom_site_fract_x
_atom_site_fract_y
_atom_site_fract_z
_atom_site_occupancy
O1 0.542 0.749 0.500 1
O2 0.934 0.234 0.802 1
O3 0.458 0.251 0.500 1
O4 0.066 0.766 0.198 1
O5 0.066 0.766 0.802 1
La1 0.000 0.000 0.500 1
O6 0.934 0.234 0.198 1
Pr1 0.500 0.500 0.248 1
O7 0.404 0.174 0.000 1
Pr2 0.500 0.500 0.752 1
Te1 0.000 0.000 0.000 1
O8 0.596 0.826 0.000 1
```

[13]
# La2PrTlO

Crystalline La2PrTlO at its relaxed geometry (PBE, Alexandria via LeMat-Bulk).

Values from the calculation:
The calculation puts the total magnetization at 0.00 μB per atom. The value obtained for the total DFT energy (no corrections) is -28.82 eV per cell. As for the crystal system: tetragonal.

The structure in CIF format:
```
data_La2PrTlO
_chemical_formula_sum 'La2 Pr1 Tl1 O1'
_cell_length_a 5.092
_cell_length_b 5.066
_cell_length_c 5.066
_cell_angle_alpha 90.00
_cell_angle_beta 90.00
_cell_angle_gamma 90.00
_space_group_name_H-M_alt 'P 1'
_space_group_IT_number 1
loop_
_space_group_symop_operation_xyz
'x,y,z'
loop_
_atom_site_label
_atom_site_fract_x
_atom_site_fract_y
_atom_site_fract_z
_atom_site_occupancy
O1 0.000 0.000 0.000 1
Tl1 0.500 0.500 0.500 1
La1 0.000 0.500 0.000 1
Pr1 0.500 0.000 0.000 1
La2 0.000 0.000 0.500 1
```

[14]
# La12PrTl4O3

Crystalline La12PrTl4O3 at its relaxed geometry (PBE, Alexandria via LeMat-Bulk).

Values from the calculation:
The calculation puts the total magnetization at 0.06 μB per atom. The value obtained for the total DFT energy (no corrections) is -105.50 eV per cell. As for the crystal system: cubic.

The structure in CIF format:
```
data_La12PrTl4O3
_chemical_formula_sum 'La12 Pr1 Tl4 O3'
_cell_length_a 9.068
_cell_length_b 9.068
_cell_length_c 9.068
_cell_angle_alpha 109.47
_cell_angle_beta 109.47
_cell_angle_gamma 109.47
_space_group_name_H-M_alt 'P 1'
_space_group_IT_number 1
loop_
_space_group_symop_operation_xyz
'x,y,z'
loop_
_atom_site_label
_atom_site_fract_x
_atom_site_fract_y
_atom_site_fract_z
_atom_site_occupancy
La1 0.000 0.273 0.273 1
La2 0.273 0.273 0.000 1
Tl1 0.500 0.000 0.000 1
La3 0.250 0.750 0.500 1
O1 0.000 0.500 0.500 1
La4 0.000 0.727 0.727 1
O2 0.500 0.500 0.000 1
La5 0.500 0.250 0.750 1
La6 0.727 0.727 0.000 1
Pr1 0.000 0.000 0.000 1
Tl2 0.500 0.500 0.500 1
La7 0.250 0.500 0.750 1
La8 0.500 0.750 0.250 1
La9 0.750 0.500 0.250 1
O3 0.500 0.000 0.500 1
La10 0.727 0.000 0.727 1
La11 0.750 0.250 0.500 1
Tl3 0.000 0.000 0.500 1
Tl4 0.000 0.500 0.000 1
La12 0.273 0.000 0.273 1
```

[15]
# La2Pr4Tl3O2

Crystalline La2Pr4Tl3O2 at its relaxed geometry (PBE, Alexandria via LeMat-Bulk).

Values from the calculation:
The calculation puts the total magnetization at 0.00 μB per atom. The value obtained for the total DFT energy (no corrections) is -59.33 eV per cell. As for the crystal system: tetragonal.

The structure in CIF format:
```
data_La2Pr4Tl3O2
_chemical_formula_sum 'La2 Pr4 Tl3 O2'
_cell_length_a 4.960
_cell_length_b 4.960
_cell_length_c 13.398
_cell_angle_alpha 100.67
_cell_angle_beta 100.67
_cell_angle_gamma 90.00
_space_group_name_H-M_alt 'P 1'
_space_group_IT_number 1
loop_
_space_group_symop_operation_xyz
'x,y,z'
loop_
_atom_site_label
_atom_site_fract_x
_atom_site_fract_y
_atom_site_fract_z
_atom_site_occupancy
La1 0.696 0.696 0.393 1
Tl1 0.826 0.826 0.651 1
Pr1 0.584 0.084 0.168 1
O1 0.396 0.396 0.793 1
La2 0.304 0.304 0.607 1
Pr2 0.084 0.584 0.168 1
Pr3 0.916 0.416 0.832 1
Tl2 0.000 0.000 0.000 1
O2 0.604 0.604 0.207 1
Tl3 0.174 0.174 0.349 1
Pr4 0.416 0.916 0.832 1
```